Entry 1:
Computed, not measured: a relaxed Ca2In3Cu crystal at the PBE level of DFT.

The structure in extended XYZ format:
```
6
Lattice="3.741 0.000 0.000 0.000 4.834 0.000 0.000 0.000 8.444" Properties=species:S:1:pos:R:3 pbc="T T T"
Ca 0.000 0.000 0.000
Ca 0.000 2.417 3.981
In 1.871 0.000 5.299
In 1.871 2.417 1.390
In 1.871 2.417 6.905
Cu 1.871 0.000 2.604
```

Properties
- SG = No. 25
- density of states at the Fermi level (states/eV/f.u.) = 3.0
- energy relative to the elements (eV/atom) = -0.3384
- VASP energy (eV per cell) = -18.345

---

Entry 2:
Computed, not measured: a relaxed SmDyIrAu crystal at the PBE level of DFT.

The structure in extended XYZ format:
```
4
Lattice="3.553 0.000 0.000 0.000 3.553 0.000 0.000 0.000 7.118" Properties=species:S:1:pos:R:3 pbc="T T T"
Sm 0.000 0.000 0.000
Dy 0.000 0.000 3.798
Ir 1.777 1.777 5.406
Au 1.777 1.777 1.987
```

Properties
- SG = No. 99
- density of states at the Fermi level (states/eV/f.u.) = 3.6
- energy relative to the elements (eV/atom) = -0.7892
- VASP energy (eV per cell) = -24.616

---

Entry 3:
Computed, not measured: a relaxed PdRh5 crystal at the PBE level of DFT.

The structure in extended XYZ format:
```
6
Lattice="2.731 0.000 0.000 0.000 2.731 0.000 0.000 0.000 11.555" Properties=species:S:1:pos:R:3 pbc="T T T"
Pd 0.000 0.000 0.000
Rh 0.000 0.000 3.863
Rh 0.000 0.000 7.692
Rh 1.366 1.366 1.988
Rh 1.366 1.366 5.777
Rh 1.366 1.366 9.567
```

Properties
- SG = No. 123
- density of states at the Fermi level (states/eV/f.u.) = 8.9
- energy relative to the elements (eV/atom) = 0.0365
- VASP energy (eV per cell) = -41.731

---

Entry 4:
Computed, not measured: a relaxed H6SI3 crystal at the PBE level of DFT.

The structure in extended XYZ format:
```
20
Lattice="5.066 0.000 0.000 0.000 5.355 0.000 -4.285 0.000 18.007" Properties=species:S:1:pos:R:3 pbc="T T T"
H -0.881 1.060 4.305
H -3.024 1.618 13.308
H -0.650 3.730 8.973
H -2.793 4.303 17.977
H -2.792 1.054 17.997
H -0.649 1.623 8.994
H 1.430 3.732 9.013
H 3.572 4.301 0.009
H 3.573 1.053 0.030
H 1.431 1.625 9.033
H 3.804 3.737 4.698
H 1.662 4.296 13.702
S 2.533 0.000 0.000
S 0.390 2.678 9.003
I -2.143 0.000 9.003
I 0.000 2.678 0.000
I -2.043 2.734 12.512
I 0.100 5.298 3.508
I 0.681 0.057 14.498
I 2.823 2.621 5.495
```

Properties
- SG = No. 14
- density of states at the Fermi level (states/eV/f.u.) = 0.7
- VASP energy (eV per cell) = -54.507

---

Entry 5:
Computed, not measured: a relaxed Cd2Ge2Au crystal at the PBE level of DFT.

The structure in extended XYZ format:
```
5
Lattice="-1.836 1.836 7.997 1.836 -1.836 7.997 1.836 1.836 -7.997" Properties=species:S:1:pos:R:3 pbc="T T T"
Cd 0.000 0.000 1.498
Cd 0.000 0.000 14.497
Ge 1.836 0.000 3.999
Ge 0.000 1.836 3.999
Au 0.000 0.000 7.997
```

Properties
- SG = No. 139
- density of states at the Fermi level (states/eV/f.u.) = 1.6
- energy relative to the elements (eV/atom) = 0.1446
- VASP energy (eV per cell) = -13.619

---

Entry 6:
Computed, not measured: a relaxed Fe3SeS crystal at the PBE level of DFT.

The structure in extended XYZ format:
```
5
Lattice="4.256 0.000 0.000 0.000 4.256 0.000 0.000 0.000 4.256" Properties=species:S:1:pos:R:3 pbc="T T T"
Fe 0.000 0.000 2.128
Fe 0.000 2.128 0.000
Fe 2.128 0.000 0.000
Se 2.128 2.128 2.128
S 0.000 0.000 0.000
```

Properties
- SG = No. 221
- density of states at the Fermi level (states/eV/f.u.) = 5.5
- VASP energy (eV per cell) = -31.355
- formation energy from raw total energies (meV/atom) = 329

---

Entry 7:
Computed, not measured: a relaxed CaSc2Cl crystal at the PBE level of DFT.

The structure in extended XYZ format:
```
4
Lattice="-1.670 3.045 5.273 1.670 -3.045 5.273 1.670 3.045 -5.273" Properties=species:S:1:pos:R:3 pbc="T T T"
Ca 0.000 0.000 0.000
Sc 0.000 0.000 4.462
Sc 0.000 3.045 1.858
Cl 1.670 0.000 2.385
```

Properties
- SG = No. 44
- density of states at the Fermi level (states/eV/f.u.) = 5.3
- VASP energy (eV per cell) = -17.890
- formation energy from raw total energies (meV/atom) = -345

---

Entry 8:
Computed, not measured: a relaxed SrMo4Rh crystal at the PBE level of DFT.

The structure in extended XYZ format:
```
6
Lattice="0.000 3.815 3.815 3.815 0.000 3.815 3.815 3.815 0.000" Properties=species:S:1:pos:R:3 pbc="T T T"
Sr 0.000 0.000 0.000
Mo 4.773 2.857 2.857
Mo 2.857 4.773 2.857
Mo 2.857 2.857 4.773
Mo 4.773 4.773 4.773
Rh 1.907 1.907 1.907
```

Properties
- SG = No. 216
- density of states at the Fermi level (states/eV/f.u.) = 5.8
- energy relative to the elements (eV/atom) = 0.6128
- VASP energy (eV per cell) = -48.681

---

Entry 9:
Computed, not measured: a relaxed CdSiPt2 crystal at the PBE level of DFT.

The structure in extended XYZ format:
```
4
Lattice="3.438 -1.437 0.000 3.438 1.437 0.000 -1.513 0.000 7.055" Properties=species:S:1:pos:R:3 pbc="T T T"
Cd 0.000 0.000 0.000
Si 2.681 0.000 3.528
Pt 0.647 0.000 4.919
Pt 4.716 0.000 2.136
```

Properties
- SG = No. 12
- density of states at the Fermi level (states/eV/f.u.) = 1.5
- VASP energy (eV per cell) = -20.048
- formation energy from raw total energies (meV/atom) = -407

---

Entry 10:
Computed, not measured: a relaxed K2GaHg16 crystal at the PBE level of DFT.

The structure in extended XYZ format:
```
19
Lattice="5.246 3.029 5.752 -5.246 3.029 5.752 0.000 -6.058 5.752" Properties=species:S:1:pos:R:3 pbc="T T T"
K 0.000 0.000 0.000
K 0.000 0.000 5.540
Ga 0.000 0.000 10.582
Hg 0.000 -3.341 3.518
Hg -2.893 1.670 3.518
Hg -1.936 -1.118 8.671
Hg 0.000 -3.682 8.354
Hg -3.188 1.841 8.354
Hg -1.565 -2.735 11.692
Hg -3.151 0.013 11.692
Hg 2.893 1.670 3.518
Hg 1.936 -1.118 8.671
Hg 0.000 2.235 8.671
Hg 1.565 -2.735 11.692
Hg -1.587 2.723 11.692
Hg 0.000 0.000 13.553
Hg 3.188 1.841 8.354
Hg 3.151 0.013 11.692
Hg 1.587 2.723 11.692
```

Properties
- SG = No. 160
- density of states at the Fermi level (states/eV/f.u.) = 6.0
- energy relative to the elements (eV/atom) = -0.0958
- VASP energy (eV per cell) = -11.870

---

Entry 11:
Computed, not measured: a relaxed ZnW3 crystal at the PBE level of DFT.

The structure in extended XYZ format:
```
4
Lattice="-1.947 1.947 4.146 1.947 -1.947 4.146 1.947 1.947 -4.146" Properties=species:S:1:pos:R:3 pbc="T T T"
Zn 0.000 0.000 0.000
W 1.947 0.000 2.073
W 0.000 0.000 4.146
W 0.000 1.947 2.073
```

Properties
- SG = No. 139
- density of states at the Fermi level (states/eV/f.u.) = 3.0
- energy relative to the elements (eV/atom) = 0.3715
- VASP energy (eV per cell) = -38.648

---

Entry 12:
Computed, not measured: a relaxed ZrPtI2O crystal at the PBE level of DFT.

The structure in extended XYZ format:
```
5
Lattice="5.691 0.000 0.000 0.000 5.691 0.000 0.000 0.000 3.803" Properties=species:S:1:pos:R:3 pbc="T T T"
Zr 0.000 0.000 0.000
Pt 2.845 2.845 1.901
I 0.000 2.845 1.901
I 2.845 0.000 1.901
O 2.845 2.845 0.000
```

Properties
- SG = No. 123
- density of states at the Fermi level (states/eV/f.u.) = 4.4
- VASP energy (eV per cell) = -21.893
- formation energy from raw total energies (meV/atom) = 151